# 1
Material: Ho4HC2O
Method: DFT, PBE
State: relaxed

## Properties
- total magnetization (μB per formula unit) = 0.000
- energy (eV/cell) = -53.9

Unit cell a=3.5419 b=6.1395 c=6.0150 alpha=109.25 beta=90.00 gamma=90.00
Closest atoms and distances in Å follow each position.
Element x y z (fractional)
C (0.5000, 0.0000, 0.5000)  6 Ho 2.41-2.42
C (0.0000, 0.5000, 0.5000)  6 Ho 2.47-2.48
Ho (0.0000, 0.2338, 0.7339)  3 C 2.42-2.48, 1 O 2.48, 2 H 2.58
Ho (0.5000, 0.7508, 0.7364)  3 C 2.41-2.47, 2 O 2.53, 1 H 2.55
Ho (0.5000, 0.2492, 0.2636)  3 C 2.41-2.47, 2 O 2.53, 1 H 2.55
Ho (0.0000, 0.7662, 0.2661)  3 C 2.42-2.48, 1 O 2.48, 2 H 2.58
O (0.0000, 0.0000, 0.0000)  6 Ho 2.48-2.53
H (0.5000, 0.5000, 0.0000)  6 Ho 2.55-2.58



# 2
Material: Ho4HC2S
Method: DFT, PBE
State: relaxed

## Properties
- total magnetization (μB per formula unit) = 0.000
- energy (eV/cell) = -49.7

Unit cell a=5.1977 b=5.1977 c=6.2651 alpha=114.51 beta=114.51 gamma=90.00
Closest atoms and distances in Å follow each position.
Element x y z (fractional)
Ho (0.1919, 0.1919, 0.5095)  1 H 2.49, 1 S 2.58, 4 C 2.60
Ho (0.6825, 0.6825, 0.4905)  1 H 2.49, 1 S 2.58, 4 C 2.60
Ho (0.4373, 0.9374, 0.0000)  2 C 2.54, 2 H 2.59-2.60, 2 S 2.60
Ho (0.9374, 0.4373, 0.0000)  2 C 2.54, 2 H 2.59-2.60, 2 S 2.60
C (0.1871, 0.6871, 0.5000)  6 Ho 2.54-2.60
C (0.6871, 0.1871, 0.5000)  6 Ho 2.54-2.60
H (0.4366, 0.4366, 0.0000)  6 Ho 2.49-2.60
S (0.9373, 0.9373, 0.0000)  6 Ho 2.58-2.60



# 3
Material: Ho6HC3S2
Method: DFT, PBE
State: relaxed

## Properties
- total magnetization (μB per formula unit) = 0.000
- energy (eV/cell) = -79.1

Unit cell a=3.6566 b=7.5521 c=8.3824 alpha=105.72 beta=102.60 gamma=90.00
Closest atoms and distances in Å follow each position.
Element x y z (fractional)
Ho (0.0101, 0.7261, 0.0202)  3 C 2.45-2.48, 1 S 2.74
Ho (0.3404, 0.3971, 0.6808)  3 C 2.51, 3 S 2.79-2.81
Ho (0.3244, 0.9394, 0.6488)  3 C 2.48-2.49, 2 S 2.76
Ho (0.9899, 0.2739, 0.9798)  3 C 2.45-2.48, 1 S 2.74
Ho (0.6756, 0.0606, 0.3512)  3 C 2.48-2.49, 2 S 2.76
Ho (0.6596, 0.6029, 0.3192)  3 C 2.51, 3 S 2.79-2.81
H (0.5000, 0.0000, 0.0000)  6 Ho 2.78-2.80
C (0.1660, 0.8336, 0.3321)  6 Ho 2.45-2.51
C (0.8340, 0.1664, 0.6679)  6 Ho 2.45-2.51
C (0.5000, 0.5000, 0.0000)  6 Ho 2.48-2.51
S (0.1627, 0.3256, 0.3253)  6 Ho 2.74-2.81
S (0.8373, 0.6744, 0.6747)  6 Ho 2.74-2.81



# 4
Material: Ho8HC3S4
Method: DFT, PBE
State: relaxed

## Properties
- total magnetization (μB per formula unit) = 0.000
- energy (eV/cell) = -104.5

Unit cell a=7.4000 b=7.5650 c=7.4000 alpha=119.28 beta=120.00 gamma=90.00
Closest atoms and distances in Å follow each position.
Element x y z (fractional)
S (0.0000, 0.0000, 0.0000)  6 Ho 2.79
S (0.5000, 0.0000, 0.5000)  6 Ho 2.79
S (0.0000, 0.0000, 0.5000)  6 Ho 2.79
S (0.5000, 0.0000, 0.0000)  6 Ho 2.68
Ho (0.2482, 0.7214, 0.9732)  2 C 2.50, 1 H 2.63, 3 S 2.68-2.79
Ho (0.2625, 0.2875, 0.5250)  3 C 2.51, 3 S 2.79
Ho (0.2482, 0.7214, 0.4965)  2 C 2.50, 1 H 2.63, 3 S 2.68-2.79
Ho (0.2750, 0.2786, 0.0268)  2 C 2.50, 1 H 2.63, 3 S 2.68-2.79
Ho (0.7518, 0.2786, 0.0268)  2 C 2.50, 1 H 2.63, 3 S 2.68-2.79
Ho (0.7518, 0.2786, 0.5035)  2 C 2.50, 1 H 2.63, 3 S 2.68-2.79
Ho (0.7250, 0.7214, 0.9732)  2 C 2.50, 1 H 2.63, 3 S 2.68-2.79
Ho (0.7375, 0.7125, 0.4750)  3 C 2.51, 3 S 2.79
C (0.5000, 0.5000, 0.0000)  6 Ho 2.50-2.51
C (0.0000, 0.5000, 0.5000)  6 Ho 2.50-2.51
C (0.5000, 0.5000, 0.5000)  6 Ho 2.50-2.51
H (0.0000, 0.5000, 0.0000)  6 Ho 2.63



# 5
Material: Ho8HC3Se4
Method: DFT, PBE
State: relaxed

## Properties
- total magnetization (μB per formula unit) = 0.000
- energy (eV/cell) = -99.7

Unit cell a=7.5170 b=7.7999 c=7.5173 alpha=118.81 beta=120.00 gamma=90.00
Closest atoms and distances in Å follow each position.
Element x y z (fractional)
Ho (0.7200, 0.7099, 0.9650)  2 C 2.52, 1 H 2.65, 1 Se 2.79
Ho (0.7342, 0.7028, 0.4685)  3 C 2.54
Ho (0.7550, 0.2901, 0.5101)  2 C 2.52, 1 H 2.65, 1 Se 2.79
Ho (0.2800, 0.2901, 0.0350)  2 C 2.52, 1 H 2.65, 1 Se 2.79
Ho (0.2658, 0.2972, 0.5315)  3 C 2.54
Ho (0.7550, 0.2901, 0.0350)  2 C 2.52, 1 H 2.65, 1 Se 2.79
Ho (0.2450, 0.7099, 0.4899)  2 C 2.52, 1 H 2.65, 1 Se 2.79
Ho (0.2450, 0.7099, 0.9650)  2 C 2.52, 1 H 2.65, 1 Se 2.79
Se (0.0000, 0.0000, 0.0000)  6 Ho 2.90-2.91
Se (0.5000, 0.0000, 0.0000)  6 Ho 2.79
Se (0.0000, 0.0000, 0.5000)  6 Ho 2.90-2.91
Se (0.5000, 0.0000, 0.5000)  6 Ho 2.90-2.91
C (0.0000, 0.5000, 0.5000)  6 Ho 2.52-2.54
C (0.5000, 0.5000, 0.5000)  6 Ho 2.52-2.54
C (0.5000, 0.5000, 0.0000)  6 Ho 2.52-2.54
H (0.0000, 0.5000, 0.0000)  6 Ho 2.65



# 6
Material: Ho6HC2Se3
Method: DFT, PBE
State: relaxed

## Properties
- total magnetization (μB per formula unit) = 0.000
- energy (eV/cell) = -73.2

Unit cell a=3.7753 b=7.8341 c=8.6044 alpha=105.41 beta=102.67 gamma=90.00
Closest atoms and distances in Å follow each position.
Element x y z (fractional)
C (0.8346, 0.6684, 0.6693)  6 Ho 2.41-2.56
C (0.1654, 0.3316, 0.3307)  6 Ho 2.41-2.56
Se (0.8370, 0.1654, 0.6740)  6 Ho 2.82-2.93
Se (0.1630, 0.8346, 0.3260)  6 Ho 2.82-2.93
Se (0.5000, 0.5000, 0.0000)  6 Ho 2.77-2.89
Ho (0.6644, 0.1210, 0.3288)  2 C 2.50, 1 H 2.66
Ho (0.3356, 0.8790, 0.6712)  2 C 2.50, 1 H 2.66
Ho (0.0161, 0.2520, 0.0323)  1 C 2.41, 2 H 2.69
Ho (0.9839, 0.7480, 0.9677)  1 C 2.41, 2 H 2.69
Ho (0.6774, 0.5580, 0.3548)  3 C 2.54-2.56
Ho (0.3226, 0.4420, 0.6452)  3 C 2.54-2.56
H (0.5000, 0.0000, 0.0000)  6 Ho 2.66-2.69



# 7
Material: Ho3HCSe
Method: DFT, PBE
State: relaxed

## Properties
- total magnetization (μB per formula unit) = 0.000
- energy (eV/cell) = -70.7

Unit cell a=3.6818 b=7.8100 c=8.0228 alpha=102.99 beta=90.00 gamma=90.00
Closest atoms and distances in Å follow each position.
Element x y z (fractional)
Se (0.7500, 0.8266, 0.7743)  7 Ho 2.88-3.03, 1 H 3.09
Se (0.2500, 0.1734, 0.2257)  7 Ho 2.88-3.03, 1 H 3.09
Ho (0.7500, 0.8690, 0.1401)  1 H 2.20, 2 C 2.45
Ho (0.2500, 0.7705, 0.4673)  3 H 2.26-2.37, 1 C 2.43
Ho (0.2500, 0.5497, 0.8400)  3 C 2.50-2.51
Ho (0.2500, 0.1310, 0.8599)  1 H 2.20, 2 C 2.45
Ho (0.7500, 0.2295, 0.5327)  3 H 2.26-2.37, 1 C 2.43
Ho (0.7500, 0.4503, 0.1600)  3 C 2.50-2.51
H (0.7500, 0.9219, 0.4211)  4 Ho 2.20-2.37, 2 H 2.41
H (0.2500, 0.0781, 0.5789)  4 Ho 2.20-2.37, 2 H 2.41
C (0.2500, 0.6671, 0.1584)  6 Ho 2.43-2.51
C (0.7500, 0.3329, 0.8416)  6 Ho 2.43-2.51



# 8
Material: Ho3TeHC
Method: DFT, PBE
State: relaxed

## Properties
- total magnetization (μB per formula unit) = 0.000
- energy (eV/cell) = -68.1

Unit cell a=3.7779 b=8.0949 c=8.3084 alpha=104.78 beta=90.00 gamma=90.00
Closest atoms and distances in Å follow each position.
Element x y z (fractional)
Ho (0.7500, 0.8612, 0.1387)  1 H 2.23, 2 C 2.49
Ho (0.2500, 0.5406, 0.8457)  3 C 2.51-2.52
Ho (0.7500, 0.4594, 0.1543)  3 C 2.51-2.52
Ho (0.7500, 0.2201, 0.5466)  3 H 2.27-2.39, 1 C 2.42
Ho (0.2500, 0.1388, 0.8613)  1 H 2.23, 2 C 2.49
Ho (0.2500, 0.7799, 0.4534)  3 H 2.27-2.39, 1 C 2.42
H (0.2500, 0.0791, 0.5846)  4 Ho 2.23-2.39
H (0.7500, 0.9209, 0.4154)  4 Ho 2.23-2.39
C (0.7500, 0.3335, 0.8454)  6 Ho 2.42-2.52
C (0.2500, 0.6665, 0.1546)  6 Ho 2.42-2.52
Te (0.7500, 0.8195, 0.7638)  7 Ho 3.05-3.15, 1 H 3.20
Te (0.2500, 0.1805, 0.2362)  7 Ho 3.05-3.15, 1 H 3.20



# 9
Material: La8HC3I4
Method: DFT, PBE
State: relaxed

## Properties
- total magnetization (μB per formula unit) = 0.000
- energy (eV/cell) = -87.9

Unit cell a=7.9206 b=9.1777 c=7.9397 alpha=115.70 beta=119.92 gamma=90.00
Closest atoms and distances in Å follow each position.
Element x y z (fractional)
H (0.0000, 0.5000, 0.0000)  6 La 2.80-2.81
La (0.2742, 0.3233, 0.5484)  3 C 2.68-2.69
La (0.7075, 0.6778, 0.9430)  2 C 2.64, 1 H 2.80
La (0.2925, 0.3222, 0.0570)  2 C 2.64, 1 H 2.80
La (0.7643, 0.3217, 0.5285)  2 C 2.64, 1 H 2.81
La (0.2355, 0.6778, 0.9430)  2 C 2.64, 1 H 2.80
La (0.7645, 0.3222, 0.0570)  2 C 2.64, 1 H 2.80
La (0.7258, 0.6767, 0.4516)  3 C 2.68-2.69
La (0.2357, 0.6783, 0.4715)  2 C 2.64, 1 H 2.81
C (0.5000, 0.5000, 0.0000)  6 La 2.64-2.69
C (0.0000, 0.5000, 0.5000)  6 La 2.64-2.68
C (0.5000, 0.5000, 0.5000)  6 La 2.64-2.68
I (0.0000, 0.0000, 0.0000)  6 La 3.44-3.48
I (0.5000, 0.0000, 0.5000)  6 La 3.44-3.48
I (0.5000, 0.0000, 0.0000)  6 La 3.35
I (0.0000, 0.0000, 0.5000)  6 La 3.44-3.48



# 10
Material: La4HCI2
Method: DFT, PBE
State: relaxed

## Properties
- total magnetization (μB per formula unit) = 0.002
- energy (eV/cell) = -40.9

Unit cell a=3.9812 b=6.8820 c=8.1727 alpha=105.01 beta=90.00 gamma=90.00
Closest atoms and distances in Å follow each position.
Element x y z (fractional)
La (0.5000, 0.7514, 0.8181)  1 C 2.56, 2 H 2.79
La (0.0000, 0.2817, 0.8267)  2 C 2.67, 1 H 2.68
La (0.0000, 0.7183, 0.1733)  2 C 2.67, 1 H 2.68
La (0.5000, 0.2486, 0.1819)  1 C 2.56, 2 H 2.79
I (0.5000, 0.0000, 0.5000)  6 La 3.46-3.49
I (0.0000, 0.5000, 0.5000)  6 La 3.37-3.39
H (0.0000, 0.0000, 0.0000)  6 La 2.68-2.79
C (0.5000, 0.5000, 0.0000)  6 La 2.56-2.67



# 11
Material: La6HC2I3
Method: DFT, PBE
State: relaxed

## Properties
- total magnetization (μB per formula unit) = 0.000
- energy (eV/cell) = -64.4

Unit cell a=6.9037 b=6.9037 c=8.2079 alpha=98.15 beta=98.15 gamma=119.93
Closest atoms and distances in Å follow each position.
Element x y z (fractional)
I (0.1658, 0.8342, 0.5000)  6 La 3.36-3.47
I (0.8342, 0.1658, 0.5000)  6 La 3.36-3.47
I (0.5000, 0.5000, 0.5000)  6 La 3.35-3.47
La (0.2920, 0.2920, 0.8221)  2 C 2.64, 1 H 2.81
La (0.7080, 0.7080, 0.1779)  2 C 2.64, 1 H 2.81
La (0.0583, 0.4083, 0.1769)  2 C 2.64-2.65, 1 H 2.79
La (0.4083, 0.0583, 0.1769)  2 C 2.64-2.65, 1 H 2.79
La (0.5917, 0.9417, 0.8231)  2 C 2.64-2.65, 1 H 2.79
La (0.9417, 0.5917, 0.8231)  2 C 2.64-2.65, 1 H 2.79
H (0.0000, 0.0000, 0.0000)  6 La 2.79-2.81
C (0.3338, 0.6662, 0.0000)  6 La 2.64-2.65
C (0.6662, 0.3338, 0.0000)  6 La 2.64-2.65



# 12
Material: MnPH6CI3
Method: DFT, PBE
State: relaxed

## Properties
- total magnetization (μB per formula unit) = 5.000
- energy (eV/cell) = -51.6

Unit cell a=4.6187 b=7.6343 c=8.0373 alpha=109.86 beta=89.19 gamma=95.79
Closest atoms and distances in Å follow each position.
Element x y z (fractional)
Mn (0.5227, 0.3890, 0.6180)  4 I 2.66-2.80
H (0.2894, 0.1497, 0.1535)  1 P 1.41
H (0.8812, 0.0024, 0.2289)  1 P 1.42
H (0.7353, 0.8923, 0.8460)  1 C 1.10
H (0.0640, 0.0062, 0.7948)  1 C 1.10
H (0.2195, 0.8291, 0.0468)  1 P 1.42
H (0.8063, 0.1451, 0.9336)  1 C 1.10
P (0.0779, 0.9953, 0.0895)  3 H 1.41-1.42
I (0.4693, 0.0168, 0.4790)  1 Mn 2.66, 1 H 2.73
I (0.0450, 0.5067, 0.4907)  2 Mn 2.79-2.80
I (0.5472, 0.5261, 0.9698)  1 Mn 2.66, 1 H 2.78
C (0.9022, 0.0113, 0.8977)  3 H 1.10